Entry 1:
Computed, not measured: an optimized crystal structure of Ba2AgP2 at the PBE level of DFT.

Computed properties:
Space group = C2/m, No. 12
DOS(E_F) = 0.041 states/eV/atom
Energy above the lowest structure with this stoichiometry = 0.000 eV per atom
Formation energy = -0.777 eV/atom

Cell: 6.353 6.353 11.327 Å, 108.10 108.10 41.41°
Positions (direct):
Ba 0.089 0.089 0.409
Ba 0.298 0.298 0.851
Ba 0.702 0.702 0.149
Ba 0.911 0.911 0.591
Ag 0.427 0.427 0.176
Ag 0.573 0.573 0.824
P 0.039 0.039 0.921
P 0.345 0.345 0.357
P 0.655 0.655 0.643
P 0.961 0.961 0.079


Entry 2:
Computed, not measured: an optimized crystal structure of LiHo2ThAu4 at the PBE level of DFT.

Computed properties:
Space group = R-3m, No. 166
DOS(E_F) = 0.576 states/eV/atom
Formation energy = -0.704 eV/atom

Cell: 8.926 8.926 8.926 Å, 32.39 32.39 32.39°
Positions (direct):
Li 0.000 0.000 0.000
Ho 0.262 0.262 0.262
Ho 0.738 0.738 0.738
Th 0.500 0.500 0.500
Au 0.113 0.113 0.113
Au 0.379 0.379 0.379
Au 0.621 0.621 0.621
Au 0.887 0.887 0.887


Entry 3:
Computed, not measured: an optimized crystal structure of BaSr2Ca at the PBE level of DFT.

Computed properties:
Space group = P4/mmm, No. 123
DOS(E_F) = 1.271 states/eV/atom
Energy above the lowest structure with this stoichiometry = 0.001 eV per atom
Formation energy = 0.017 eV/atom

Cell: 4.829 4.829 9.130 Å, 90.00 90.00 90.00°
Positions (direct):
Ba 0.000 0.000 0.000
Sr 0.500 0.500 0.269
Sr 0.500 0.500 0.731
Ca 0.000 0.000 0.500


Entry 4:
Computed, not measured: an optimized crystal structure of Rb3SrLa at the PBE level of DFT.

Computed properties:
Space group = Pm-3m, No. 221
DOS(E_F) = 0.501 states/eV/atom
Formation energy = 0.788 eV/atom

Cell: 7.248 7.248 7.248 Å, 90.00 90.00 90.00°
Positions (direct):
Rb 0.000 0.000 0.500
Rb 0.000 0.500 0.000
Rb 0.500 0.000 0.000
Sr 0.500 0.500 0.500
La 0.000 0.000 0.000


Entry 5:
Computed, not measured: an optimized crystal structure of Pr4Tl3Hg at the PBE level of DFT.

Computed properties:
Space group = P4/mmm, No. 123
DOS(E_F) = 1.131 states/eV/atom
Energy above the lowest structure with this stoichiometry = 0.000 eV per atom
Formation energy = -0.413 eV/atom

Cell: 3.812 3.812 16.550 Å, 90.00 90.00 90.00°
Positions (direct):
Pr 0.000 0.000 0.119
Pr 0.000 0.000 0.373
Pr 0.000 0.000 0.627
Pr 0.000 0.000 0.881
Tl 0.500 0.500 0.244
Tl 0.500 0.500 0.500
Tl 0.500 0.500 0.756
Hg 0.500 0.500 0.000


Entry 6:
Computed, not measured: an optimized crystal structure of La3Ge5Se12 at the PBE level of DFT.

Computed properties:
Formation energy from raw total energies = -0.8838 eV per atom
Space group = Ia-3d, No. 230
DOS(E_F) = 0.263 states/eV/atom

Cell: 14.215 14.215 14.215 Å, 109.47 109.47 109.47°
Positions (direct):
La 0.125 0.250 0.375
La 0.125 0.375 0.750
La 0.250 0.375 0.125
La 0.250 0.875 0.625
La 0.375 0.125 0.250
La 0.375 0.750 0.125
La 0.625 0.250 0.875
La 0.625 0.875 0.750
La 0.750 0.125 0.375
La 0.750 0.625 0.875
La 0.875 0.625 0.250
La 0.875 0.750 0.625
Ge 0.000 0.000 0.000
Ge 0.000 0.000 0.500
Ge 0.000 0.500 0.000
Ge 0.000 0.500 0.500
Ge 0.125 0.750 0.875
Ge 0.125 0.875 0.250
Ge 0.250 0.125 0.875
Ge 0.250 0.625 0.375
Ge 0.375 0.250 0.625
Ge 0.375 0.625 0.750
Ge 0.500 0.000 0.000
Ge 0.500 0.000 0.500
Ge 0.500 0.500 0.000
Ge 0.500 0.500 0.500
Ge 0.625 0.375 0.250
Ge 0.625 0.750 0.375
Ge 0.750 0.375 0.625
Ge 0.750 0.875 0.125
Ge 0.875 0.125 0.750
Ge 0.875 0.250 0.125
Se 0.032 0.213 0.125
Se 0.032 0.319 0.907
Se 0.088 0.713 0.681
Se 0.088 0.875 0.407
Se 0.093 0.625 0.412
Se 0.093 0.968 0.681
Se 0.125 0.032 0.213
Se 0.125 0.593 0.912
Se 0.181 0.213 0.588
Se 0.181 0.468 0.593
Se 0.213 0.125 0.032
Se 0.213 0.588 0.181
Se 0.287 0.319 0.912
Se 0.287 0.468 0.375
Se 0.319 0.907 0.032
Se 0.319 0.912 0.287
Se 0.375 0.287 0.468
Se 0.375 0.588 0.907
Se 0.407 0.088 0.875
Se 0.407 0.819 0.532
Se 0.412 0.093 0.625
Se 0.412 0.819 0.787
Se 0.468 0.375 0.287
Se 0.468 0.593 0.181
Se 0.532 0.407 0.819
Se 0.532 0.625 0.713
Se 0.588 0.181 0.213
Se 0.588 0.907 0.375
Se 0.593 0.181 0.468
Se 0.593 0.912 0.125
Se 0.625 0.412 0.093
Se 0.625 0.713 0.532
Se 0.681 0.088 0.713
Se 0.681 0.093 0.968
Se 0.713 0.532 0.625
Se 0.713 0.681 0.088
Se 0.787 0.412 0.819
Se 0.787 0.875 0.968
Se 0.819 0.532 0.407
Se 0.819 0.787 0.412
Se 0.875 0.407 0.088
Se 0.875 0.968 0.787
Se 0.907 0.032 0.319
Se 0.907 0.375 0.588
Se 0.912 0.125 0.593
Se 0.912 0.287 0.319
Se 0.968 0.681 0.093
Se 0.968 0.787 0.875


Entry 7:
Computed, not measured: an optimized crystal structure of LaPr2ThSe4 at the PBE level of DFT.

Computed properties:
Formation energy from raw total energies = -1.8017 eV per atom
Space group = P2/m, No. 10
DOS(E_F) = 0.546 states/eV/atom

Cell: 7.385 4.246 7.388 Å, 90.00 109.37 90.00°
Positions (direct):
La 0.000 0.000 0.000
Pr 0.000 0.500 0.500
Pr 0.500 0.000 0.500
Th 0.500 0.500 0.000
Se 0.253 0.500 0.250
Se 0.254 0.000 0.752
Se 0.746 0.000 0.248
Se 0.747 0.500 0.750


Entry 8:
Computed, not measured: an optimized crystal structure of Sb2PtCl at the PBE level of DFT.

Computed properties:
Formation energy from raw total energies = -0.1377 eV per atom
Space group = R3m, No. 160
DOS(E_F) = 0.617 states/eV/atom
Energy above the lowest structure with this stoichiometry = 0.341 eV per atom

Cell: 3.671 3.671 26.728 Å, 90.00 90.00 120.00°
Positions (direct):
Sb 0.000 0.000 0.000
Sb 0.000 0.000 0.245
Sb 0.333 0.667 0.667
Sb 0.333 0.667 0.912
Sb 0.667 0.333 0.333
Sb 0.667 0.333 0.578
Pt 0.000 0.000 0.724
Pt 0.333 0.667 0.391
Pt 0.667 0.333 0.058
Cl 0.000 0.000 0.450
Cl 0.333 0.667 0.117
Cl 0.667 0.333 0.783


Entry 9:
Computed, not measured: an optimized crystal structure of AcUSn2 at the PBE level of DFT.

Computed properties:
Space group = P4/mmm, No. 123
DOS(E_F) = 1.807 states/eV/atom
Formation energy = -0.223 eV/atom

Cell: 3.610 3.610 9.027 Å, 90.00 90.00 90.00°
Positions (direct):
Ac 0.000 0.000 0.000
U 0.000 0.000 0.500
Sn 0.500 0.500 0.269
Sn 0.500 0.500 0.731


Entry 10:
Computed, not measured: an optimized crystal structure of Li7CuHg2 at the PBE level of DFT.

Computed properties:
Space group = P3m1, No. 156
DOS(E_F) = 0.211 states/eV/atom
Formation energy = -0.125 eV/atom

Cell: 4.442 4.442 10.547 Å, 90.00 90.00 120.00°
Positions (direct):
Li 0.000 0.000 0.000
Li 0.000 0.000 0.238
Li 0.000 0.000 0.490
Li 0.333 0.667 0.070
Li 0.333 0.667 0.630
Li 0.667 0.333 0.417
Li 0.667 0.333 0.869
Cu 0.667 0.333 0.150
Hg 0.000 0.000 0.746
Hg 0.333 0.667 0.337


Entry 11:
Computed, not measured: an optimized crystal structure of La3UPd12 at the PBE level of DFT.

Computed properties:
Space group = P4/mmm, No. 123
DOS(E_F) = 0.789 states/eV/atom
Formation energy = -0.745 eV/atom

Cell: 4.208 4.208 16.805 Å, 90.00 90.00 90.00°
Positions (direct):
La 0.000 0.000 0.000
La 0.000 0.000 0.250
La 0.000 0.000 0.750
U 0.000 0.000 0.500
Pd 0.000 0.500 0.127
Pd 0.000 0.500 0.383
Pd 0.000 0.500 0.617
Pd 0.000 0.500 0.873
Pd 0.500 0.000 0.127
Pd 0.500 0.000 0.383
Pd 0.500 0.000 0.617
Pd 0.500 0.000 0.873
Pd 0.500 0.500 0.000
Pd 0.500 0.500 0.255
Pd 0.500 0.500 0.500
Pd 0.500 0.500 0.745


Entry 12:
Computed, not measured: an optimized crystal structure of HfTaAg2B at the PBE level of DFT.

Computed properties:
Space group = P4/mmm, No. 123
DOS(E_F) = 1.058 states/eV/atom
Formation energy = 2.232 eV/atom

Cell: 5.100 5.100 5.040 Å, 90.00 90.00 90.00°
Positions (direct):
Hf 0.000 0.000 0.000
Ta 0.000 0.000 0.500
Ag 0.000 0.500 0.500
Ag 0.500 0.000 0.500
B 0.500 0.500 0.000